Ti2Zn5Ni | the Alexandria database | GGA-PBE | optimized geometry; space group = No. 139; V = 115.0 Å³/cell; formation energy from the elements = -0.1756 eV/atom; VASP energy = -3.67 eV per atom; magnetic moment = 0.72 μB/f.u.
1.0
3.905 0.000 0.000
0.000 3.905 0.000
-1.953 -1.953 7.543
Zn Ni Ti
5 1 2
Cartesian
1.953 0.000 5.788
0.000 1.953 1.755
1.953 0.000 1.755
1.953 1.953 0.000
0.000 1.953 5.788
0.000 0.000 0.000
0.000 0.000 3.670
1.953 1.953 3.873